Run i
A relaxed structure of LiIn2W. Source: Alexandria via LeMat-Bulk, functional PBE.

Results
The size of the total moment comes out at 0.6 μB/f.u. Its density of states at the Fermi level is 2.293 states/eV/f.u.

Unit cell a=3.2678 b=3.2678 c=6.7899 alpha=90.00 beta=90.00 gamma=90.00
With the nearest neighbours (Å) after each atom.
Element x y z (fractional)
In 0.0000 0.0000 0.0113  4 Li 2.82, 4 W 2.91
In 0.0000 0.0000 0.4887  4 Li 2.82, 4 W 2.91
W 0.5000 0.5000 0.7500  8 In 2.91
Li 0.5000 0.5000 0.2500  8 In 2.82

---

Run ii
A relaxed structure of LiIn2W. Source: Alexandria via LeMat-Bulk, functional PBE.

Results
The size of the total moment comes out at 0.0 μB/f.u. Its density of states at the Fermi level is 1.130 states/eV/f.u.

Unit cell a=2.9019 b=2.9019 c=9.0634 alpha=90.00 beta=90.00 gamma=89.98
With the nearest neighbours (Å) after each atom.
Element x y z (fractional)
Li 0.5000 0.5000 0.2500  4 Li 2.90, 8 In 3.06
In 0.0000 0.0000 0.9991  4 In 2.90, 4 W 3.05, 4 Li 3.06
In 0.0000 0.0000 0.5009  4 In 2.90, 4 W 3.05, 4 Li 3.06
W 0.5000 0.5000 0.7500  4 W 2.90, 8 In 3.05

---

Short version: run ii is the most stable of them.

---

Run i
A relaxed structure of LiIn2W. Source: Alexandria via LeMat-Bulk, functional PBE.

Results
The size of the total moment comes out at 0.0 μB/f.u. Its density of states at the Fermi level is 1.737 states/eV/f.u.

Unit cell a=2.9443 b=4.7092 c=5.6831 alpha=90.00 beta=90.00 gamma=90.00
With the nearest neighbours (Å) after each atom.
Element x y z (fractional)
W 0.5000 0.5000 0.7903  6 In 2.77-2.91, 2 W 2.94
In 0.0000 0.0000 0.9267  1 Li 2.53
In 0.5000 0.5000 0.3024  2 W 2.77-2.91, 2 In 2.94, 4 Li 2.96
Li 0.0000 0.0000 0.4806  1 In 2.53

---

Run ii
A relaxed structure of LiIn2W. Source: Alexandria via LeMat-Bulk, functional PBE.

Results
The size of the total moment comes out at 0.0 μB/f.u. Its density of states at the Fermi level is 3.054 states/eV/f.u.

Unit cell a=4.9181 b=4.9181 c=5.7415 alpha=82.82 beta=82.82 gamma=34.18
With the nearest neighbours (Å) after each atom.
Element x y z (fractional)
W 0.7500 0.7500 0.7500  2 W 2.89, 6 In 2.91-2.94, 4 Li 3.21
In 0.4978 0.4978 0.5054  4 In 2.89-3.16, 3 W 2.91-2.94, 3 Li 2.91-2.99
In 0.0022 0.0022 0.9946  4 In 2.89-3.16, 3 W 2.91-2.94, 3 Li 2.91-2.99
Li 0.2500 0.2500 0.2500  2 Li 2.89, 6 In 2.91-2.99, 4 W 3.21

---

Run iii
A relaxed structure of LiIn2W. Source: Alexandria via LeMat-Bulk, functional PBE.

Results
The size of the total moment comes out at 0.0 μB/f.u. Its density of states at the Fermi level is 1.500 states/eV/f.u.

Unit cell a=5.8031 b=5.8031 c=5.8031 alpha=149.41 beta=131.24 gamma=58.66
With the nearest neighbours (Å) after each atom.
Element x y z (fractional)
In 0.0075 0.0075 0.0000  4 Li 2.85, 2 W 2.95, 4 In 3.06-3.09
In 0.7426 0.2426 0.5000  4 W 2.85, 2 Li 2.95, 4 In 3.06-3.09
W 0.2569 0.7569 0.5000  2 Li 2.84, 6 In 2.85-2.95, 2 W 3.06
Li 0.4931 0.4931 0.0000  2 W 2.84, 6 In 2.85-2.95, 2 Li 3.06

---

Short version: run iii is the most stable of them.